1.
UAsRhN after structural relaxation. Source: Alexandria via LeMat-Bulk, functional PBE.

## Properties
Raw total energy ... -8.94 eV/atom

Cell lengths 3.945, 3.945, 8.132 Å; angles 90.00, 90.00, 90.00 degrees
Space group P4/nmm (No. 129, origin choice 2)
Inequivalent atoms, fractional coordinates:
U: 0.250 0.250 0.139 x2
As: 0.250 0.250 0.682 x2
Rh: 0.250 0.750 0.500 x2
N: 0.250 0.750 0.000 x2

---

2.
AgPb2Br after structural relaxation. Source: Alexandria via LeMat-Bulk, functional PBE.

## Properties
Energy above the lowest structure with this stoichiometry ... 20.4 meV per atom

Cell lengths 3.602, 3.602, 8.396 Å; angles 90.00, 90.00, 90.00 degrees
Space group P4/mmm (No. 123)
Inequivalent atoms, fractional coordinates:
Ag: 0.000 0.000 0.000 x1
Pb: 0.500 0.500 0.224 x2
Br: 0.000 0.000 0.500 x1

---

Which formula does entry 1 have? UAsRhN